An optimized crystal structure of Rb4TiO4. Source: Alexandria via LeMat-Bulk, functional PBE.

abc: 11.144 6.975 11.233
angles: 90.00 111.53 90.00
Sites, in units of the cell vectors:
Rb (0.058, 0.086, 0.194)
Rb (0.058, 0.414, 0.694)
Rb (0.162, 0.606, 0.086)
Rb (0.162, 0.894, 0.586)
Rb (0.367, 0.667, 0.891)
Rb (0.367, 0.833, 0.391)
Rb (0.428, 0.194, 0.796)
Rb (0.428, 0.306, 0.296)
Rb (0.572, 0.694, 0.704)
Rb (0.572, 0.806, 0.204)
Rb (0.633, 0.167, 0.609)
Rb (0.633, 0.333, 0.109)
Rb (0.838, 0.106, 0.414)
Rb (0.838, 0.394, 0.914)
Rb (0.942, 0.586, 0.306)
Rb (0.942, 0.914, 0.806)
Ti (0.243, 0.133, 0.992)
Ti (0.243, 0.367, 0.492)
Ti (0.757, 0.633, 0.508)
Ti (0.757, 0.867, 0.008)
O (0.085, 0.237, 0.972)
O (0.085, 0.263, 0.472)
O (0.226, 0.001, 0.844)
O (0.226, 0.499, 0.344)
O (0.300, 0.527, 0.635)
O (0.300, 0.973, 0.135)
O (0.361, 0.169, 0.519)
O (0.361, 0.331, 0.019)
O (0.639, 0.669, 0.981)
O (0.639, 0.831, 0.481)
O (0.700, 0.027, 0.865)
O (0.700, 0.473, 0.365)
O (0.774, 0.501, 0.656)
O (0.774, 0.999, 0.156)
O (0.915, 0.737, 0.528)
O (0.915, 0.763, 0.028)

Size of the total moment in Bohr magnetons per cell: 0.4
Energy above the most stable polymorph in this dataset in eV per atom: 0.000
Formation energy without anion corrections in eV per atom: -2.02
D(E_F) in states/eV/f.u.: 0.0
Final energy in eV/f.u.: -49.7